No. 1
DFT (PBE) results for a relaxed PmSmBr4 crystal.

Summary:
* calculated density: 4.96 Mg/m³
* energy relative to the lowest polymorph listed for this composition: 0.0 meV per atom
* formation energy from raw total energies: -1.645 eV per atom
* SG: C2/m

Cell lengths 3.9749, 6.8662, 15.0956 Å; angles 89.68, 90.00, 90.00 degrees
Sites, in units of the cell vectors:
1 Pm 0.5000 0.5000 0.5000
2 Pm 0.0000 0.0000 0.0000
3 Sm 0.0000 0.0000 0.5000
4 Sm 0.5000 0.5000 0.0000
5 Br 0.5000 0.1659 0.3765
6 Br 0.0000 0.3341 0.1235
7 Br 0.5000 0.8341 0.6235
8 Br 0.0000 0.6659 0.8765
9 Br 0.0000 0.6700 0.3758
10 Br 0.5000 0.8300 0.1242
11 Br 0.0000 0.3300 0.6242
12 Br 0.5000 0.1700 0.8758

***

No. 2
DFT (PBE) results for a relaxed Pm2SmBr5 crystal.

Summary:
* calculated density: 4.65 Mg/m³
* formation energy from raw total energies: -1.272 eV per atom
* SG: Pnnm

Cell lengths 7.1000, 13.1435, 12.8696 Å; angles 90.00, 90.00, 90.00 degrees
Last column: magnetic moment on the atom in μB.
Sites, in units of the cell vectors:
1 Pm 0.2475 0.0000 0.0000  0.03
2 Pm 0.7525 0.0000 0.0000  0.03
3 Pm 0.0000 0.1016 0.6024  0.54
4 Pm 0.5000 0.3984 0.1024  0.54
5 Pm 0.2525 0.5000 0.5000  0.03
6 Pm 0.7475 0.5000 0.5000  0.03
7 Pm 0.5000 0.6016 0.8976  0.54
8 Pm 0.0000 0.8984 0.3976  0.54
9 Sm 0.0000 0.3001 0.2139  0.44
10 Sm 0.5000 0.1999 0.7139  0.44
11 Sm 0.5000 0.8001 0.2861  0.44
12 Sm 0.0000 0.6999 0.7861  0.44
13 Br 0.0000 0.0926 0.8362  0.01
14 Br 0.5000 0.0058 0.8124  0.01
15 Br 0.0000 0.1247 0.3616  0.00
16 Br 0.2531 0.2195 0.0606  0.01
17 Br 0.7469 0.2195 0.0606  0.01
18 Br 0.2469 0.2805 0.5606  0.01
19 Br 0.7531 0.2805 0.5606  0.01
20 Br 0.5000 0.3753 0.8616  0.00
21 Br 0.0000 0.4942 0.3124  0.01
22 Br 0.5000 0.4074 0.3362  0.01
23 Br 0.5000 0.5926 0.6638  0.01
24 Br 0.0000 0.5058 0.6876  0.01
25 Br 0.5000 0.6247 0.1384  0.00
26 Br 0.2469 0.7195 0.4394  0.01
27 Br 0.7531 0.7195 0.4394  0.01
28 Br 0.2531 0.7805 0.9394  0.01
29 Br 0.7469 0.7805 0.9394  0.01
30 Br 0.0000 0.8753 0.6384  0.00
31 Br 0.5000 0.9942 0.1876  0.01
32 Br 0.0000 0.9074 0.1638  0.01

***

No. 3
DFT (PBE) results for a relaxed PmSmBr crystal.

Summary:
* calculated density: 6.61 Mg/m³
* formation energy from raw total energies: -0.749 eV per atom
* SG: P3m1

Cell lengths 3.8080, 3.8080, 7.5063 Å; angles 90.00, 90.00, 120.00 degrees
Last column: magnetic moment on the atom in μB.
Sites, in units of the cell vectors:
1 Br 0.6667 0.3333 0.3349  0.00
2 Sm 0.3333 0.6667 0.6474  0.11
3 Pm 0.0000 0.0000 0.0177  0.11

***

No. 4
DFT (PBE) results for a relaxed Pm2SmBr crystal.

Summary:
* calculated density: 6.78 Mg/m³
* energy relative to the lowest polymorph listed for this composition: 19.2 meV per atom
* formation energy from raw total energies: -0.538 eV per atom
* SG: R3m

Cell lengths 3.7365, 3.7365, 10.7510 Å; angles 79.99, 79.99, 60.00 degrees
Last column: magnetic moment on the atom in μB.
Sites, in units of the cell vectors:
1 Pm 0.0749 0.0749 0.7753  0.14
2 Pm 0.2586 0.2586 0.2241  0.11
3 Sm 0.4999 0.4999 0.5004  0.19
4 Br 0.6666 0.6666 0.0002  0.01

***

No. 5
DFT (PBE) results for a relaxed PmSm2Br5 crystal.

Summary:
* calculated density: 4.70 Mg/m³
* formation energy from raw total energies: -1.264 eV per atom
* SG: Pnnm

Cell lengths 7.0960, 13.1150, 12.8240 Å; angles 90.00, 90.00, 90.00 degrees
Last column: magnetic moment on the atom in μB.
Sites, in units of the cell vectors:
1 Pm 0.0000 0.2994 0.2139  0.45
2 Pm 0.5000 0.2006 0.7139  0.45
3 Pm 0.5000 0.7994 0.2861  0.45
4 Pm 0.0000 0.7006 0.7861  0.45
5 Sm 0.2475 0.0000 0.0000  0.02
6 Sm 0.7525 0.0000 0.0000  0.02
7 Sm 0.0000 0.1032 0.6025  0.48
8 Sm 0.5000 0.3968 0.1025  0.48
9 Sm 0.2525 0.5000 0.5000  0.02
10 Sm 0.7475 0.5000 0.5000  0.02
11 Sm 0.5000 0.6032 0.8975  0.48
12 Sm 0.0000 0.8968 0.3975  0.48
13 Br 0.0000 0.0899 0.8358  0.01
14 Br 0.5000 0.0045 0.8134  0.00
15 Br 0.0000 0.1213 0.3630  0.00
16 Br 0.2536 0.2195 0.0575  0.01
17 Br 0.7464 0.2195 0.0575  0.01
18 Br 0.2464 0.2805 0.5575  0.01
19 Br 0.7536 0.2805 0.5575  0.01
20 Br 0.5000 0.3787 0.8630  0.00
21 Br 0.0000 0.4955 0.3134  0.00
22 Br 0.5000 0.4101 0.3358  0.01
23 Br 0.5000 0.5899 0.6642  0.01
24 Br 0.0000 0.5045 0.6866  0.00
25 Br 0.5000 0.6213 0.1370  0.00
26 Br 0.2464 0.7195 0.4425  0.01
27 Br 0.7536 0.7195 0.4425  0.01
28 Br 0.2536 0.7805 0.9425  0.01
29 Br 0.7464 0.7805 0.9425  0.01
30 Br 0.0000 0.8787 0.6370  0.00
31 Br 0.5000 0.9955 0.1866  0.00
32 Br 0.0000 0.9101 0.1642  0.01

***

No. 6
DFT (PBE) results for a relaxed PmSmBr6 crystal.

Summary:
* calculated density: 3.94 Mg/m³
* energy relative to the lowest polymorph listed for this composition: 0.0 meV per atom
* formation energy from raw total energies: -1.842 eV per atom
* SG: C2/m

Cell lengths 7.1534, 7.5737, 7.5737 Å; angles 123.77, 97.77, 97.77 degrees
Sites, in units of the cell vectors:
1 Pm 0.0000 0.0000 0.0000
2 Sm 0.5000 0.5000 0.5000
3 Br 0.7492 0.6024 0.8944
4 Br 0.7492 0.8944 0.6024
5 Br 0.2508 0.1056 0.3976
6 Br 0.2508 0.3976 0.1056
7 Br 0.7491 0.2503 0.2503
8 Br 0.2509 0.7497 0.7497

***

No. 7
DFT (PBE) results for a relaxed Pm2SmBr crystal.

Summary:
* calculated density: 6.85 Mg/m³
* energy relative to the lowest polymorph listed for this composition: 97.4 meV per atom
* formation energy from raw total energies: -0.459 eV per atom
* SG: P4/mmm

Cell lengths 3.6007, 3.6007, 9.7210 Å; angles 90.00, 90.00, 90.00 degrees
Sites, in units of the cell vectors:
1 Br 0.5000 0.5000 0.0000
2 Sm 0.5000 0.5000 0.5000
3 Pm 0.0000 0.0000 0.7649
4 Pm 0.0000 0.0000 0.2351

***

No. 8
DFT (PBE) results for a relaxed PmSmBr4 crystal.

Summary:
* calculated density: 5.42 Mg/m³
* energy relative to the lowest polymorph listed for this composition: 17.7 meV per atom
* formation energy from raw total energies: -1.627 eV per atom
* SG: Imma

Cell lengths 8.0621, 8.1455, 8.1122 Å; angles 120.14, 119.80, 90.00 degrees
Sites, in units of the cell vectors:
1 Pm 0.5000 0.0000 0.5000
2 Pm 0.0000 0.0000 0.5000
3 Sm 0.5000 0.5000 0.0000
4 Sm 0.5000 0.0000 0.0000
5 Br 0.7569 0.7389 0.5137
6 Br 0.2257 0.7413 0.9825
7 Br 0.7568 0.7413 0.9825
8 Br 0.7569 0.2748 0.5137
9 Br 0.2431 0.7252 0.4863
10 Br 0.7743 0.2587 0.0175
11 Br 0.2432 0.2587 0.0175
12 Br 0.2431 0.2611 0.4863

***

No. 9
DFT (PBE) results for a relaxed PmSm2Br8 crystal.

Summary:
* calculated density: 3.57 Mg/m³
* formation energy from raw total energies: -1.671 eV per atom
* SG: C2/m

Cell lengths 7.0529, 10.0451, 10.0451 Å; angles 45.78, 97.27, 97.27 degrees
Last column: magnetic moment on the atom in μB.
Sites, in units of the cell vectors:
1 Pm 0.0000 0.0000 0.0000  0.30
2 Sm 0.4459 0.1466 0.1466  0.13
3 Sm 0.5541 0.8534 0.8534  0.13
4 Br 0.7246 0.2030 0.6800  0.00
5 Br 0.2754 0.3200 0.7970  0.00
6 Br 0.8421 0.1400 0.1400  0.00
7 Br 0.1579 0.8600 0.8600  0.00
8 Br 0.7246 0.6800 0.2030  0.00
9 Br 0.2754 0.7970 0.3200  0.00
10 Br 0.3712 0.2858 0.2858  0.00
11 Br 0.6288 0.7142 0.7142  0.00

***

No. 10
DFT (PBE) results for a relaxed Pm2SmBr6 crystal.

Summary:
* calculated density: 4.78 Mg/m³
* formation energy from raw total energies: -1.651 eV per atom
* SG: C2/m

Cell lengths 3.9848, 8.3895, 10.9032 Å; angles 114.82, 90.00, 103.74 degrees
Sites, in units of the cell vectors:
1 Pm 0.6519 0.3039 0.8100
2 Pm 0.3481 0.6962 0.1900
3 Sm 0.0000 0.0000 0.5000
4 Br 0.3028 0.6057 0.8901
5 Br 0.6971 0.3943 0.1099
6 Br 0.9873 0.9746 0.2163
7 Br 0.6439 0.2879 0.5399
8 Br 0.0127 0.0254 0.7837
9 Br 0.3561 0.7121 0.4601

***

No. 11
DFT (PBE) results for a relaxed PmSmBr6 crystal.

Summary:
* calculated density: 4.37 Mg/m³
* energy relative to the lowest polymorph listed for this composition: 13.0 meV per atom
* formation energy from raw total energies: -1.829 eV per atom
* SG: R-3

Cell lengths 7.1894, 7.1892, 7.7807 Å; angles 62.48, 62.48, 60.00 degrees
Sites, in units of the cell vectors:
1 Pm 0.0000 0.0000 0.0000
2 Sm 0.5000 0.5000 0.5000
3 Br 0.0912 0.4104 0.7493
4 Br 0.7490 0.0913 0.7495
5 Br 0.5897 0.2509 0.2507
6 Br 0.2510 0.9087 0.2505
7 Br 0.9088 0.5896 0.2507
8 Br 0.4103 0.7491 0.7493

***

No. 12
DFT (PBE) results for a relaxed PmSmSnBr crystal.

Summary:
* calculated density: 7.33 Mg/m³
* formation energy from raw total energies: -0.862 eV per atom
* SG: F-43m

Cell lengths 5.4097, 5.4097, 5.4097 Å; angles 60.00, 60.00, 60.00 degrees
Sites, in units of the cell vectors:
1 Br 0.2500 0.2500 0.2500
2 Sn 0.7500 0.7500 0.7500
3 Sm 0.0000 0.0000 0.0000
4 Pm 0.5000 0.5000 0.5000